Record 1
Material: K2NaSiSe4
Method: DFT, PBE-GGA
State: optimized geometry

Lattice parameters (Å, degrees): 8.005 8.005 7.409 90.00 90.00 90.00
Fractional positions:
K (0.000, 0.500, 0.000)
K (0.000, 0.500, 0.500)
K (0.500, 0.000, 0.000)
K (0.500, 0.000, 0.500)
Na (0.000, 0.000, 0.000)
Na (0.500, 0.500, 0.500)
Si (0.000, 0.000, 0.500)
Si (0.500, 0.500, 0.000)
Se (0.162, 0.162, 0.313)
Se (0.162, 0.838, 0.687)
Se (0.338, 0.338, 0.813)
Se (0.338, 0.662, 0.187)
Se (0.662, 0.338, 0.187)
Se (0.662, 0.662, 0.813)
Se (0.838, 0.162, 0.687)
Se (0.838, 0.838, 0.313)

Calculated values
E, eV per atom: -3.712
Magnetic moment, μB/atom: 0.049
SG: No. 121
Energy relative to the elements, uncorrected, meV per atom: -853


Record 2
Material: KNa2SiSe
Method: DFT, PBE-GGA
State: optimized geometry

Lattice parameters (Å, degrees): 5.502 5.502 6.350 90.00 90.00 90.00
Fractional positions:
K (0.000, 0.000, 0.000)
Na (0.000, 0.500, 0.500)
Na (0.500, 0.000, 0.500)
Si (0.500, 0.500, 0.000)
Se (0.000, 0.000, 0.500)

Calculated values
E, eV per atom: -2.621
Magnetic moment, μB/atom: 0.600
SG: No. 123
Energy relative to the elements, uncorrected, meV per atom: -93


Record 3
Material: K2NaSnSe4
Method: DFT, PBE-GGA
State: optimized geometry

Lattice parameters (Å, degrees): 8.035 8.035 7.570 90.00 90.00 90.00
Fractional positions:
K (0.000, 0.500, 0.000)
K (0.000, 0.500, 0.500)
K (0.500, 0.000, 0.000)
K (0.500, 0.000, 0.500)
Na (0.000, 0.000, 0.000)
Na (0.500, 0.500, 0.500)
Sn (0.000, 0.000, 0.500)
Sn (0.500, 0.500, 0.000)
Se (0.178, 0.178, 0.290)
Se (0.178, 0.822, 0.710)
Se (0.322, 0.322, 0.790)
Se (0.322, 0.678, 0.210)
Se (0.678, 0.322, 0.210)
Se (0.678, 0.678, 0.790)
Se (0.822, 0.178, 0.710)
Se (0.822, 0.822, 0.290)

Calculated values
E, eV per atom: -3.478
Magnetic moment, μB/atom: 0.096
SG: No. 121
Energy relative to the elements, uncorrected, meV per atom: -796